# 1
# LaAl2HPb

LaAl2HPb at its PBEsol-relaxed geometry (meta-GGA SCAN, Alexandria).

abc: 5.139 5.139 6.274
angles: 90.00 90.00 90.00
Positions (direct):
Al  0.500  0.000  0.000
Al  0.000  0.500  0.000
Pb  0.000  0.000  0.000
H  0.500  0.500  0.500
La  0.000  0.000  0.500

Results
**Symmetry**: No. 123
**Density of states at the Fermi level**: 3.7 states/eV/f.u.
**Raw total energy**: -133.28 eV per formula unit



# 2
# La2AlSnH

La2AlSnH at its PBEsol-relaxed geometry (meta-GGA SCAN, Alexandria).

abc: 3.578 5.942 5.942
angles: 90.00 90.00 90.00
Positions (direct):
Al  0.000  0.000  0.000
H  0.500  0.000  0.000
La  0.000  0.000  0.500
La  0.000  0.500  0.000
Sn  0.500  0.500  0.500

Results
**Symmetry**: No. 123
**Density of states at the Fermi level**: 4.4 states/eV/f.u.
**Raw total energy**: -133.55 eV per formula unit



# 3
# Li3AlH6

Li3AlH6 at its PBEsol-relaxed geometry (meta-GGA SCAN, Alexandria).

abc: 5.548 5.548 5.548
angles: 91.47 91.47 91.47
Positions (direct):
Al  0.000  0.000  0.000
Al  0.500  0.500  0.500
Li  0.062  0.749  0.568
Li  0.251  0.432  0.938
Li  0.749  0.568  0.062
Li  0.432  0.938  0.251
Li  0.568  0.062  0.749
Li  0.938  0.251  0.432
H  0.572  0.203  0.424
H  0.702  0.910  0.048
H  0.910  0.048  0.702
H  0.576  0.428  0.797
H  0.797  0.576  0.428
H  0.090  0.952  0.298
H  0.203  0.424  0.572
H  0.424  0.572  0.203
H  0.428  0.797  0.576
H  0.298  0.090  0.952
H  0.048  0.702  0.910
H  0.952  0.298  0.090

Results
**Symmetry**: No. 148
**Density of states at the Fermi level**: 0.0 states/eV/f.u.
**Raw total energy**: -39.20 eV per formula unit



# 4
# LiMgAlH6

LiMgAlH6 at its PBEsol-relaxed geometry (meta-GGA SCAN, Alexandria).

abc: 4.320 7.928 7.928
angles: 120.00 90.00 90.00
Positions (direct):
H  0.272  0.542  0.775
H  0.272  0.233  0.458
H  0.223  0.210  0.116
H  0.272  0.875  0.417
H  0.777  0.790  0.906
H  0.728  0.417  0.875
H  0.777  0.116  0.210
H  0.272  0.583  0.458
H  0.728  0.775  0.542
H  0.728  0.767  0.225
H  0.272  0.225  0.767
H  0.223  0.884  0.094
H  0.728  0.125  0.542
H  0.272  0.542  0.125
H  0.728  0.458  0.233
H  0.728  0.458  0.583
H  0.223  0.906  0.790
H  0.777  0.094  0.884
Li  0.500  0.704  0.704
Li  0.500  0.000  0.296
Li  0.500  0.296  0.000
Mg  0.000  0.000  0.636
Mg  0.000  0.636  0.000
Mg  0.000  0.364  0.364
Al  0.000  0.000  0.000
Al  0.500  0.333  0.667
Al  0.500  0.667  0.333

Results
**Symmetry**: No. 150
**Density of states at the Fermi level**: 0.0 states/eV/f.u.
**Raw total energy**: -38.24 eV per formula unit



# 5
# LiMn3Al2H6O12

LiMn3Al2H6O12 at its PBEsol-relaxed geometry (meta-GGA SCAN, Alexandria).

abc: 4.982 4.982 9.515
angles: 95.01 95.01 120.00
Positions (direct):
O  0.535  0.894  0.606
O  0.632  0.966  0.897
O  0.823  0.823  0.394
O  0.966  0.632  0.897
O  0.701  0.701  0.103
O  0.034  0.368  0.103
O  0.106  0.465  0.394
O  0.894  0.535  0.606
O  0.465  0.106  0.394
O  0.177  0.177  0.606
O  0.299  0.299  0.897
O  0.368  0.034  0.103
H  0.919  0.570  0.711
H  0.778  0.778  0.289
H  0.081  0.430  0.289
H  0.222  0.222  0.711
H  0.570  0.919  0.711
H  0.430  0.081  0.289
Al  0.167  0.833  0.500
Al  0.833  0.167  0.500
Li  0.500  0.500  0.500
Mn  0.667  0.333  0.000
Mn  0.333  0.667  0.000
Mn  0.000  0.000  0.000

Results
**E above lowest polymorph**: 0 meV/atom
**Symmetry**: No. 12
**Density of states at the Fermi level**: 5.0 states/eV/f.u.
**Raw total energy**: -217.38 eV per formula unit



# 6
# LiMn3Al2H6O12

LiMn3Al2H6O12 at its PBEsol-relaxed geometry (meta-GGA SCAN, Alexandria).

abc: 5.756 7.603 9.929
angles: 95.98 106.90 100.95
Positions (direct):
O  0.835  0.133  0.103
O  0.842  0.525  0.392
O  0.668  0.881  0.397
O  0.332  0.119  0.603
O  0.834  0.535  0.900
O  0.158  0.475  0.608
O  0.332  0.535  0.897
O  0.503  0.801  0.105
O  0.983  0.194  0.401
O  0.490  0.808  0.603
O  0.166  0.465  0.100
O  0.839  0.130  0.609
O  0.335  0.133  0.103
O  0.017  0.806  0.599
O  0.161  0.870  0.391
O  0.996  0.198  0.894
O  0.316  0.544  0.390
O  0.165  0.867  0.897
O  0.510  0.192  0.397
O  0.497  0.199  0.895
O  0.668  0.465  0.103
O  0.004  0.802  0.106
O  0.684  0.456  0.610
O  0.665  0.867  0.897
H  0.607  0.853  0.291
H  0.251  0.514  0.285
H  0.393  0.147  0.709
H  0.547  0.830  0.709
H  0.896  0.156  0.716
H  0.104  0.844  0.284
H  0.219  0.499  0.713
H  0.749  0.486  0.715
H  0.781  0.501  0.287
H  0.073  0.825  0.705
H  0.453  0.170  0.291
H  0.927  0.175  0.295
Mn  0.832  0.333  0.999
Mn  0.000  0.000  0.000
Mn  0.500  0.000  0.000
Mn  0.333  0.333  0.999
Mn  0.667  0.667  0.001
Mn  0.168  0.667  0.001
Al  0.831  0.341  0.502
Al  0.169  0.659  0.498
Al  0.500  0.000  0.500
Al  0.000  0.000  0.500
Li  0.658  0.656  0.499
Li  0.342  0.344  0.501

Results
**E above lowest polymorph**: 22 meV/atom
**Symmetry**: No. 2
**Density of states at the Fermi level**: 4.1 states/eV/f.u.
**Raw total energy**: -216.85 eV per formula unit



# 7
# Na2LiAlH6

Na2LiAlH6 at its PBEsol-relaxed geometry (meta-GGA SCAN, Alexandria).

abc: 5.154 5.154 5.154
angles: 60.00 60.00 60.00
Positions (direct):
H  0.760  0.240  0.240
H  0.760  0.240  0.760
H  0.240  0.240  0.760
H  0.240  0.760  0.240
H  0.760  0.760  0.240
H  0.240  0.760  0.760
Na  0.750  0.750  0.750
Na  0.250  0.250  0.250
Al  0.000  0.000  0.000
Li  0.500  0.500  0.500

Results
**E above lowest polymorph**: 4 meV/atom
**Symmetry**: No. 225
**Density of states at the Fermi level**: 0.0 states/eV/f.u.
**Raw total energy**: -42.43 eV per formula unit



# 8
# NaLiAlH2

NaLiAlH2 at its PBEsol-relaxed geometry (meta-GGA SCAN, Alexandria).

abc: 3.805 3.805 5.323
angles: 90.00 90.00 90.00
Positions (direct):
Li  0.000  0.000  0.500
Al  0.000  0.000  0.000
Na  0.500  0.500  0.500
H  0.500  0.000  0.000
H  0.000  0.500  0.000

Results
**Symmetry**: No. 123
**Density of states at the Fermi level**: 1.3 states/eV/f.u.
**Raw total energy**: -19.45 eV per formula unit



# 9
# Na2LiAlH6

Na2LiAlH6 at its PBEsol-relaxed geometry (meta-GGA SCAN, Alexandria).

abc: 5.149 5.157 7.294
angles: 90.00 90.05 90.00
Positions (direct):
H  0.556  0.510  0.262
H  0.794  0.269  0.970
H  0.733  0.792  0.971
H  0.706  0.769  0.530
H  0.944  0.010  0.238
H  0.206  0.731  0.030
H  0.444  0.490  0.738
H  0.767  0.292  0.529
H  0.056  0.990  0.762
H  0.267  0.208  0.029
H  0.233  0.708  0.471
H  0.294  0.231  0.470
Na  0.998  0.517  0.750
Na  0.002  0.483  0.250
Na  0.498  0.983  0.250
Na  0.502  0.017  0.750
Al  0.500  0.500  0.500
Al  0.000  0.000  0.000
Li  0.000  0.000  0.500
Li  0.500  0.500  0.000

Results
**E above lowest polymorph**: 0 meV/atom
**Symmetry**: No. 14
**Density of states at the Fermi level**: 0.0 states/eV/f.u.
**Raw total energy**: -42.46 eV per formula unit



# 10
# MgAlH5

MgAlH5 at its PBEsol-relaxed geometry (meta-GGA SCAN, Alexandria).

abc: 4.226 4.504 6.838
angles: 70.77 90.00 90.00
Positions (direct):
H  0.969  0.598  0.181
H  0.531  0.221  0.181
H  0.000  0.167  0.000
H  0.523  0.654  0.392
H  0.469  0.402  0.819
H  0.500  0.833  0.000
H  0.031  0.779  0.819
H  0.477  0.045  0.608
H  0.023  0.346  0.608
H  0.977  0.955  0.392
Al  0.750  0.908  0.183
Al  0.250  0.092  0.817
Mg  0.750  0.679  0.643
Mg  0.250  0.321  0.357

Results
**Symmetry**: No. 20
**Density of states at the Fermi level**: 0.0 states/eV/f.u.
**Raw total energy**: -31.10 eV per formula unit



# 11
# Mg5AlH21O17

Mg5AlH21O17 at its PBEsol-relaxed geometry (meta-GGA SCAN, Alexandria).

abc: 3.062 7.651 16.126
angles: 87.74 89.85 76.83
Positions (direct):
O  0.805  0.490  0.745
O  0.932  0.108  0.432
O  0.443  0.469  0.436
O  0.993  0.489  0.591
O  0.086  0.839  0.552
O  0.583  0.813  0.374
O  0.929  0.131  0.771
O  0.424  0.125  0.600
O  0.560  0.876  0.041
O  0.417  0.134  0.267
O  0.992  0.544  0.290
O  0.900  0.156  0.093
O  0.411  0.141  0.917
O  0.047  0.513  0.893
O  0.576  0.865  0.727
O  0.058  0.875  0.873
O  0.063  0.867  0.208
H  0.675  0.733  0.735
H  0.826  0.285  0.096
H  0.830  0.663  0.319
H  0.510  0.716  0.409
H  0.799  0.238  0.432
H  0.099  0.737  0.214
H  0.259  0.478  0.384
H  0.477  0.506  0.744
H  0.696  0.500  0.565
H  0.302  0.273  0.909
H  0.737  0.494  0.274
H  0.636  0.747  0.051
H  0.927  0.489  0.654
H  0.763  0.521  0.923
H  0.095  0.743  0.880
H  0.878  0.265  0.762
H  0.230  0.461  0.481
H  0.321  0.260  0.279
H  0.079  0.712  0.563
H  0.293  0.255  0.595
H  0.943  0.503  0.831
Mg  0.000  0.985  0.322
Mg  0.504  0.981  0.493
Mg  0.981  0.015  0.987
Mg  0.001  0.990  0.655
Mg  0.481  0.012  0.154
Al  0.493  0.005  0.821

Results
**Symmetry**: No. 1
**Density of states at the Fermi level**: 0.0 states/eV/f.u.
**Raw total energy**: -283.50 eV per formula unit



# 12
# Mn2AlH2

Mn2AlH2 at its PBEsol-relaxed geometry (meta-GGA SCAN, Alexandria).

abc: 2.856 2.856 5.229
angles: 105.85 105.85 90.00
Positions (direct):
H  0.250  0.750  0.500
H  0.750  0.250  0.500
Mn  0.657  0.657  0.314
Mn  0.343  0.343  0.686
Al  0.000  0.000  0.000

Results
**Symmetry**: No. 139
**Density of states at the Fermi level**: 5.7 states/eV/f.u.
**Raw total energy**: -51.53 eV per formula unit



Copy entry 1 word for word.
# LaAl2HPb

LaAl2HPb at its PBEsol-relaxed geometry (meta-GGA SCAN, Alexandria).

abc: 5.139 5.139 6.274
angles: 90.00 90.00 90.00
Positions (direct):
Al  0.500  0.000  0.000
Al  0.000  0.500  0.000
Pb  0.000  0.000  0.000
H  0.500  0.500  0.500
La  0.000  0.000  0.500

Results
**Symmetry**: No. 123
**Density of states at the Fermi level**: 3.7 states/eV/f.u.
**Raw total energy**: -133.28 eV per formula unit



> What is the raw total energy in the tenth record?

-31.10 eV per formula unit



> What is the formula in the fourth record?

LiMgAlH6